# CrBr

A relaxed CrBr crystal (PBE, Alexandria via LeMat-Bulk).

Cell lengths 7.232, 7.232, 4.193 Å; angles 90.00, 90.00, 90.00 degrees
Space group P4_2/mnm (No. 136)
Symmetry-distinct sites (fractional):
Cr (0.084, 0.084, 0.000)
Br (0.246, 0.246, 0.500)

Summary:
* final energy: -10.7 eV/f.u.
* theoretical density: 4.0 Mg/m³
* formation energy without anion corrections: 0.62 eV/f.u.
* total magnetic moment: 0.000 μB/cell

***

# Nd2SmNi2Ge2

A relaxed Nd2SmNi2Ge2 crystal (PBE, Alexandria via LeMat-Bulk).

Cell lengths 4.2148, 4.2148, 32.4421 Å; angles 90.00, 90.00, 120.00 degrees
Space group R-3m (No. 166, hexagonal axes)
Symmetry-distinct sites (fractional):
Nd (0.0000, 0.0000, 0.1146)
Sm (0.0000, 0.0000, 0.0000)
Ni (0.0000, 0.0000, 0.3913)
Ge (0.0000, 0.0000, 0.2724)

Summary:
* density of states at the Fermi level: 0.625 states/eV per atom
* final energy: -39.3 eV/f.u.
* theoretical density: 7.0 Mg/m³
* total magnetic moment: 2.285 μB/cell
* energy of formation from the pure elements: -4.22 eV per formula unit

***

# AuCI2N

A relaxed AuCI2N crystal (PBE, Alexandria via LeMat-Bulk).

Cell lengths 5.921, 5.921, 3.788 Å; angles 90.00, 90.00, 90.00 degrees
Space group P4/mmm (No. 123)
Symmetry-distinct sites (fractional):
Au (0.000, 0.000, 0.000)
C (0.500, 0.500, 0.500)
I (0.000, 0.500, 0.000)
N (0.000, 0.000, 0.500)

Summary:
* density of states at the Fermi level: 1.069 states/eV per atom
* final energy: -12.9 eV/f.u.
* theoretical density: 6.0 Mg/m³
* formation energy without anion corrections: 11.02 eV/f.u.
* total magnetic moment: 1.021 μB/cell
* polymorph energy (0 for the lowest one): 1271 meV/atom

***

# CaAc2Pd9

A relaxed CaAc2Pd9 crystal (PBE, Alexandria via LeMat-Bulk).

Cell lengths 5.4975, 5.4975, 27.6106 Å; angles 90.00, 90.00, 120.00 degrees
Space group R-3m (No. 166, hexagonal axes)
Symmetry-distinct sites (fractional):
Ca (0.0000, 0.0000, 0.0000)
Ac (0.0000, 0.0000, 0.1358)
Pd (0.0000, 0.0000, 0.3330)
Pd (0.0000, 0.0000, 0.5000)
Pd (0.0018, 0.5009, 0.9171)

Summary:
* density of states at the Fermi level: 0.603 states/eV per atom
* final energy: -64.6 eV/f.u.
* theoretical density: 10.0 Mg/m³
* total magnetic moment: 0.000 μB/cell
* energy of formation from the pure elements: -7.60 eV per formula unit
* polymorph energy (0 for the lowest one): 13 meV/atom

***

# KCaSb2

A relaxed KCaSb2 crystal (PBE, Alexandria via LeMat-Bulk).

Cell lengths 4.139, 4.139, 9.176 Å; angles 90.00, 90.00, 90.00 degrees
Space group P4mm (No. 99)
Symmetry-distinct sites (fractional):
K (0.000, 0.000, 0.000)
Ca (0.500, 0.500, 0.609)
Sb (0.000, 0.000, 0.391)
Sb (0.500, 0.500, 0.276)

Summary:
* density of states at the Fermi level: 0.798 states/eV per atom
* final energy: -12.3 eV/f.u.
* theoretical density: 3.4 Mg/m³
* formation energy without anion corrections: -0.93 eV/f.u.
* total magnetic moment: 0.000 μB/cell
* polymorph energy (0 for the lowest one): 407 meV/atom

***

# LiPr3Hg3

A relaxed LiPr3Hg3 crystal (PBE, Alexandria via LeMat-Bulk).

Cell lengths 10.874, 4.767, 15.802 Å; angles 90.00, 107.91, 90.00 degrees
Space group C2/m (No. 12)
Symmetry-distinct sites (fractional):
Li (0.229, 0.000, 0.409)
Pr (0.016, 0.500, 0.381)
Pr (0.096, 0.500, 0.922)
Pr (0.241, 0.500, 0.225)
Hg (0.038, 0.000, 0.244)
Hg (0.121, 0.000, 0.078)
Hg (0.146, 0.000, 0.557)

Summary:
* density of states at the Fermi level: 0.931 states/eV per atom
* final energy: -19.7 eV/f.u.
* theoretical density: 8.8 Mg/m³
* total magnetic moment: 0.000 μB/cell
* energy of formation from the pure elements: -2.52 eV per formula unit

***

# Ba5CdRh2

A relaxed Ba5CdRh2 crystal (PBE, Alexandria via LeMat-Bulk).

Cell lengths 4.637, 8.033, 16.986 Å; angles 90.00, 90.00, 90.00 degrees
Space group Immm (No. 71)
Symmetry-distinct sites (fractional):
Ba (0.000, 0.000, 0.000)
Ba (0.000, 0.239, 0.344)
Cd (0.000, 0.500, 0.000)
Rh (0.000, 0.000, 0.182)

Summary:
* density of states at the Fermi level: 0.610 states/eV per atom
* final energy: -26.5 eV/f.u.
* theoretical density: 5.3 Mg/m³
* total magnetic moment: 0.000 μB/cell
* energy of formation from the pure elements: -1.31 eV per formula unit

***

# Hg4Os3

A relaxed Hg4Os3 crystal (PBE, Alexandria via LeMat-Bulk).

Cell lengths 5.3184, 5.3184, 5.4312 Å; angles 90.00, 90.00, 120.00 degrees
Space group P6/mmm (No. 191)
Symmetry-distinct sites (fractional):
Hg (0.0000, 0.0000, 0.2438)
Hg (0.3333, 0.6667, 0.0000)
Os (0.0000, 0.5000, 0.5000)

Summary:
* density of states at the Fermi level: 0.853 states/eV per atom
* final energy: -28.3 eV/f.u.
* theoretical density: 17.1 Mg/m³
* total magnetic moment: 0.000 μB/cell
* energy of formation from the pure elements: 6.64 eV per formula unit
* polymorph energy (0 for the lowest one): 286 meV/atom

***

# BaTc2Pt

A relaxed BaTc2Pt crystal (PBE, Alexandria via LeMat-Bulk).

Cell lengths 3.194, 3.194, 8.072 Å; angles 90.00, 90.00, 90.00 degrees
Space group P4mm (No. 99)
Symmetry-distinct sites (fractional):
Ba (0.000, 0.000, 0.000)
Tc (0.000, 0.000, 0.514)
Tc (0.500, 0.500, 0.662)
Pt (0.500, 0.500, 0.303)

Summary:
* density of states at the Fermi level: 1.302 states/eV per atom
* final energy: -27.5 eV/f.u.
* theoretical density: 10.7 Mg/m³
* total magnetic moment: 0.001 μB/cell
* energy of formation from the pure elements: 1.23 eV per formula unit
* polymorph energy (0 for the lowest one): 112 meV/atom

***

# MnP2H

A relaxed MnP2H crystal (PBE, Alexandria via LeMat-Bulk).

Cell lengths 5.294, 5.294, 5.827 Å; angles 90.00, 90.00, 90.00 degrees
Space group I-42d (No. 122)
Symmetry-distinct sites (fractional):
Mn (0.000, 0.000, 0.000)
P (0.179, 0.250, 0.625)
H (0.000, 0.000, 0.500)

Summary:
* density of states at the Fermi level: 0.075 states/eV per atom
* final energy: -21.9 eV/f.u.
* theoretical density: 4.8 Mg/m³
* total magnetic moment: 0.000 μB/cell
* polymorph energy (0 for the lowest one): 344 meV/atom

***

# HoGa6Pd

A relaxed HoGa6Pd crystal (PBE, Alexandria via LeMat-Bulk).

Cell lengths 6.668, 10.083, 4.442 Å; angles 90.00, 90.00, 90.00 degrees
Space group Cmmm (No. 65)
Symmetry-distinct sites (fractional):
Ho (0.000, 0.000, 0.000)
Ga (0.000, 0.207, 0.500)
Ga (0.198, 0.500, 0.500)
Ga (0.250, 0.250, 0.000)
Pd (0.000, 0.500, 0.000)

Summary:
* density of states at the Fermi level: 0.382 states/eV per atom
* final energy: -30.6 eV/f.u.
* theoretical density: 7.7 Mg/m³
* total magnetic moment: 0.000 μB/cell
* energy of formation from the pure elements: -2.66 eV per formula unit

***

# MnAg2Os

A relaxed MnAg2Os crystal (PBE, Alexandria via LeMat-Bulk).

Cell lengths 9.763, 2.747, 4.778 Å; angles 90.00, 99.40, 90.00 degrees
Space group C2/m (No. 12)
Symmetry-distinct sites (fractional):
Mn (0.000, 0.000, 0.000)
Ag (0.249, 0.000, 0.749)
Os (0.000, 0.500, 0.500)

Summary:
* density of states at the Fermi level: 0.695 states/eV per atom
* final energy: -24.1 eV/f.u.
* theoretical density: 12.1 Mg/m³
* total magnetic moment: 7.285 μB/cell
* energy of formation from the pure elements: 2.03 eV per formula unit
* polymorph energy (0 for the lowest one): 177 meV/atom